{"formula": "BS2Cl2F2", "functional": "PBE", "state": "relaxed", "lattice": [[6.5468, -1.7409, 0.0000], [6.5468, 1.7409, 0.0000], [-4.1995, 0.0000, 6.8907]], "species": ["B", "S", "S", "Cl", "Cl", "F", "F"], "frac_coords": [[0.0000, 0.0000, 0.0000], [0.4225, 0.4225, 0.4780], [0.5775, 0.5775, 0.5220], [0.3730, 0.3730, 0.7529], [0.6270, 0.6270, 0.2471], [0.0746, 0.0746, 0.9379], [0.9254, 0.9254, 0.0621]], "total_energy_ev_per_cell": -28.5, "rho_g_cm3": 1.94, "sg": "C2/m", "formation_energy_uncorrected_ev_per_atom": -0.88, "magmom_total_mub_per_cell": 0.2, "n_ef_per_ev_fu": 1.4}

---

{"formula": "BaPmCu2P2", "functional": "PBE", "state": "relaxed", "lattice": [[4.0660, 0.0000, 0.0000], [-2.0330, 3.5213, 0.0000], [0.0000, 0.0000, 8.8452]], "species": ["Ba", "Pm", "Cu", "Cu", "P", "P"], "frac_coords": [[0.0000, 0.0000, 0.0000], [0.0000, 0.0000, 0.5000], [0.3333, 0.6667, 0.7230], [0.6667, 0.3333, 0.2770], [0.3333, 0.6667, 0.2798], [0.6667, 0.3333, 0.7202]], "total_energy_ev_per_cell": -30.9, "rho_g_cm3": 6.18, "sg": "P-3m1", "magmom_total_mub_per_cell": 0.0, "n_ef_per_ev_fu": 3.4, "ef_ev_per_atom": -0.8616}

---

{"formula": "TlTcW2", "functional": "PBE", "state": "relaxed", "lattice": [[-3.8006, 3.8006, 2.7098], [3.8006, -3.8006, 2.7098], [3.8006, 3.8006, -2.7098]], "species": ["Tl", "Tl", "Tc", "Tc", "W", "W", "W", "W"], "frac_coords": [[0.0000, 0.0000, 0.0000], [0.7500, 0.2500, 0.5000], [0.2500, 0.7500, 0.5000], [0.5000, 0.5000, 0.0000], [0.1856, 0.6250, 0.0606], [0.3750, 0.4356, 0.5606], [0.5644, 0.1250, 0.9394], [0.8750, 0.8144, 0.4394]], "total_energy_ev_per_cell": -68.3, "rho_g_cm3": 14.21, "sg": "I-42d", "de_polymorph_mev_per_atom": 577, "magmom_total_mub_per_cell": 0.0, "n_ef_per_ev_fu": 2.9, "ef_ev_per_atom": 1.1265}

---

{"formula": "Dy5Pa", "functional": "PBE", "state": "relaxed", "lattice": [[2.4756, -7.4180, 0.0000], [2.4756, 7.4180, 0.0000], [0.0000, 0.0000, 4.9168]], "species": ["Dy", "Dy", "Dy", "Dy", "Dy", "Pa"], "frac_coords": [[0.0000, 0.0000, 0.0000], [0.1616, 0.8384, 0.5000], [0.3403, 0.6597, 0.0000], [0.6597, 0.3403, 0.0000], [0.8384, 0.1616, 0.5000], [0.5000, 0.5000, 0.5000]], "total_energy_ev_per_cell": -31.7, "rho_g_cm3": 9.60, "sg": "Cmmm", "magmom_total_mub_per_cell": 0.0, "n_ef_per_ev_fu": 10.4, "ef_ev_per_atom": 0.1377}

---

{"formula": "Yb2Zn3Ge3", "functional": "PBE", "state": "relaxed", "lattice": [[7.9013, -2.1589, 0.0000], [7.9013, 2.1589, 0.0000], [-6.8440, 0.0000, 9.3065]], "species": ["Yb", "Yb", "Yb", "Yb", "Zn", "Zn", "Zn", "Zn", "Zn", "Zn", "Ge", "Ge", "Ge", "Ge", "Ge", "Ge"], "frac_coords": [[0.0660, 0.0660, 0.4115], [0.2374, 0.2374, 0.8303], [0.7626, 0.7626, 0.1697], [0.9340, 0.9340, 0.5885], [0.0777, 0.0777, 0.1416], [0.2666, 0.2666, 0.4001], [0.4379, 0.4379, 0.1720], [0.5621, 0.5621, 0.8280], [0.7334, 0.7334, 0.5999], [0.9223, 0.9223, 0.8584], [0.1210, 0.1210, 0.9637], [0.3471, 0.3471, 0.6788], [0.4144, 0.4144, 0.3751], [0.5856, 0.5856, 0.6249], [0.6529, 0.6529, 0.3212], [0.8790, 0.8790, 0.0363]], "total_energy_ev_per_cell": -48.8, "rho_g_cm3": 7.95, "sg": "C2/m", "magmom_total_mub_per_cell": 0.1, "n_ef_per_ev_fu": 27.0, "ef_ev_per_atom": -0.4597}

---

{"formula": "Li2TeAs4", "functional": "PBE", "state": "relaxed", "lattice": [[-2.6555, 2.6555, 6.5408], [2.6555, -2.6555, 6.5408], [2.6555, 2.6555, -6.5408]], "species": ["Li", "Li", "Te", "As", "As", "As", "As"], "frac_coords": [[0.0971, 0.0971, 0.0000], [0.9029, 0.9029, 0.0000], [0.5000, 0.5000, 0.0000], [0.0000, 0.5000, 0.5000], [0.2916, 0.2916, 0.0000], [0.5000, 0.0000, 0.5000], [0.7084, 0.7084, 0.0000]], "total_energy_ev_per_cell": -21.9, "rho_g_cm3": 3.97, "sg": "I4/mmm", "formation_energy_uncorrected_ev_per_atom": 0.53, "magmom_total_mub_per_cell": 0.0, "n_ef_per_ev_fu": 6.2}

---

{"formula": "Li6SbAu5", "functional": "PBE", "state": "relaxed", "lattice": [[4.3610, 0.0000, 0.0000], [0.0000, 6.6623, 0.0000], [-1.9862, 0.0000, 6.5815]], "species": ["Li", "Li", "Li", "Li", "Li", "Li", "Sb", "Au", "Au", "Au", "Au", "Au"], "frac_coords": [[0.0000, 0.2355, 0.0000], [0.0000, 0.7645, 0.0000], [0.3337, 0.2428, 0.6595], [0.3337, 0.7572, 0.6595], [0.6663, 0.2428, 0.3405], [0.6663, 0.7572, 0.3405], [0.5000, 0.5000, 0.0000], [0.1621, 0.0000, 0.3319], [0.1625, 0.5000, 0.3361], [0.5000, 0.0000, 0.0000], [0.8375, 0.5000, 0.6639], [0.8379, 0.0000, 0.6681]], "total_energy_ev_per_cell": -38.3, "rho_g_cm3": 9.97, "sg": "P2/m", "formation_energy_uncorrected_ev_per_atom": -0.53, "magmom_total_mub_per_cell": 0.0, "n_ef_per_ev_fu": 2.9}

---

{"formula": "PmYAu3", "functional": "PBE", "state": "relaxed", "lattice": [[7.5186, -2.6534, 0.0000], [7.5186, 2.6534, 0.0000], [-2.0154, 0.0000, 5.8818]], "species": ["Pm", "Pm", "Y", "Y", "Au", "Au", "Au", "Au", "Au", "Au"], "frac_coords": [[0.0955, 0.0955, 0.4039], [0.9045, 0.9045, 0.5961], [0.3152, 0.3152, 0.8915], [0.6848, 0.6848, 0.1085], [0.1158, 0.1158, 0.9125], [0.2890, 0.2890, 0.3786], [0.5001, 0.5001, 0.2582], [0.4999, 0.4999, 0.7418], [0.7110, 0.7110, 0.6214], [0.8842, 0.8842, 0.0875]], "total_energy_ev_per_cell": -49.6, "rho_g_cm3": 11.67, "sg": "C2/m", "magmom_total_mub_per_cell": 0.0, "n_ef_per_ev_fu": 3.0, "ef_ev_per_atom": -0.7457}

---

{"formula": "LaTmSn", "functional": "PBE", "state": "relaxed", "lattice": [[-2.3398, 2.3398, 8.6310], [2.3398, -2.3398, 8.6310], [2.3398, 2.3398, -8.6310]], "species": ["La", "La", "Tm", "Tm", "Sn", "Sn"], "frac_coords": [[0.1765, 0.1765, 0.0000], [0.8235, 0.8235, 0.0000], [0.0000, 0.5000, 0.5000], [0.5000, 0.0000, 0.5000], [0.3726, 0.3726, 0.0000], [0.6274, 0.6274, 0.0000]], "total_energy_ev_per_cell": -30.6, "rho_g_cm3": 7.50, "sg": "I4/mmm", "de_polymorph_mev_per_atom": 0, "magmom_total_mub_per_cell": 1.5, "n_ef_per_ev_fu": 2.8, "ef_ev_per_atom": -0.6375}

---

{"formula": "AcTlBiPt", "functional": "PBE", "state": "relaxed", "lattice": [[0.0000, 3.8112, 3.8112], [3.8112, 0.0000, 3.8112], [3.8112, 3.8112, 0.0000]], "species": ["Ac", "Tl", "Bi", "Pt"], "frac_coords": [[0.0000, 0.0000, 0.0000], [0.7500, 0.7500, 0.7500], [0.5000, 0.5000, 0.5000], [0.2500, 0.2500, 0.2500]], "total_energy_ev_per_cell": -18.1, "rho_g_cm3": 12.53, "sg": "F-43m", "magmom_total_mub_per_cell": 0.0, "n_ef_per_ev_fu": 2.3, "ef_ev_per_atom": -0.4368}

---

{"formula": "Zn4CdGa7", "functional": "PBE", "state": "relaxed", "lattice": [[3.0419, 0.0000, 0.0000], [-1.5209, 2.6344, 0.0000], [0.0000, 0.0000, 26.9614]], "species": ["Zn", "Zn", "Zn", "Zn", "Cd", "Ga", "Ga", "Ga", "Ga", "Ga", "Ga", "Ga"], "frac_coords": [[0.3333, 0.6667, 0.1822], [0.3333, 0.6667, 0.4213], [0.6667, 0.3333, 0.5787], [0.6667, 0.3333, 0.8178], [0.0000, 0.0000, 0.0000], [0.0000, 0.0000, 0.2619], [0.0000, 0.0000, 0.5000], [0.0000, 0.0000, 0.7381], [0.3333, 0.6667, 0.6562], [0.3333, 0.6667, 0.9012], [0.6667, 0.3333, 0.0988], [0.6667, 0.3333, 0.3438]], "total_energy_ev_per_cell": -26.7, "rho_g_cm3": 6.63, "sg": "P-3m1", "magmom_total_mub_per_cell": 0.0, "n_ef_per_ev_fu": 3.4, "ef_ev_per_atom": 0.0401}

---

{"formula": "Sr2MgAg3", "functional": "PBE", "state": "relaxed", "lattice": [[0.0000, 4.8353, 8.4097], [4.1917, 0.0000, 8.4097], [4.1917, 4.8353, 0.0000]], "species": ["Sr", "Sr", "Sr", "Sr", "Mg", "Mg", "Ag", "Ag", "Ag", "Ag", "Ag", "Ag"], "frac_coords": [[0.2430, 0.7570, 0.7570], [0.2500, 0.2500, 0.2500], [0.7500, 0.7500, 0.7500], [0.7570, 0.2430, 0.2430], [0.3336, 0.3336, 0.6664], [0.6664, 0.6664, 0.3336], [0.1693, 0.1693, 0.8307], [0.1698, 0.6620, 0.3380], [0.3380, 0.8302, 0.1698], [0.6620, 0.1698, 0.8302], [0.8302, 0.3380, 0.6620], [0.8307, 0.8307, 0.1693]], "total_energy_ev_per_cell": -29.9, "rho_g_cm3": 5.10, "sg": "Fmmm", "de_polymorph_mev_per_atom": 20, "magmom_total_mub_per_cell": 0.0, "n_ef_per_ev_fu": 2.4, "ef_ev_per_atom": -0.2364}